No. 1
# LuGa2 | the Alexandria database | PBE-GGA | optimized geometry
data_LuGa2
_space_group_name_H-M_alt 'P 1'
_space_group_IT_number 1
_cell_length_a 5.437
_cell_length_b 5.437
_cell_length_c 5.437
_cell_angle_alpha 60.00
_cell_angle_beta 60.00
_cell_angle_gamma 60.00
loop_
_space_group_symop_operation_xyz
'x,y,z'
loop_
_atom_site_label
_atom_site_type_symbol
_atom_site_fract_x
_atom_site_fract_y
_atom_site_fract_z
_atom_site_occupancy
Lu1 Lu 0.125 0.125 0.125 1
Lu2 Lu 0.875 0.875 0.875 1
Ga1 Ga 0.000 0.500 0.500 1
Ga2 Ga 0.500 0.000 0.500 1
Ga3 Ga 0.500 0.500 0.000 1
Ga4 Ga 0.500 0.500 0.500 1
# ρ = 9.2 g cm⁻³
# Formation enthalpy at 0 K = -1.48 eV/f.u.
# Total DFT energy (no corrections) = -4.017 eV/atom

No. 2
# Lu2MgGa | the Alexandria database | PBE-GGA | optimized geometry
data_Lu2MgGa
_space_group_name_H-M_alt 'P 1'
_space_group_IT_number 1
_cell_length_a 9.863
_cell_length_b 9.863
_cell_length_c 9.863
_cell_angle_alpha 20.35
_cell_angle_beta 20.35
_cell_angle_gamma 20.35
loop_
_space_group_symop_operation_xyz
'x,y,z'
loop_
_atom_site_label
_atom_site_type_symbol
_atom_site_fract_x
_atom_site_fract_y
_atom_site_fract_z
_atom_site_occupancy
Lu1 Lu 0.241 0.241 0.241 1
Lu2 Lu 0.759 0.759 0.759 1
Mg1 Mg 0.000 0.000 0.000 1
Ga1 Ga 0.500 0.500 0.500 1
# ρ = 7.3 g cm⁻³
# Formation enthalpy at 0 K = -0.81 eV/f.u.
# Total DFT energy (no corrections) = -3.619 eV/atom

No. 3
# LuMgGa2 | the Alexandria database | PBE-GGA | optimized geometry
data_LuMgGa2
_space_group_name_H-M_alt 'P 1'
_space_group_IT_number 1
_cell_length_a 3.451
_cell_length_b 3.451
_cell_length_c 6.778
_cell_angle_alpha 90.00
_cell_angle_beta 90.00
_cell_angle_gamma 90.00
loop_
_space_group_symop_operation_xyz
'x,y,z'
loop_
_atom_site_label
_atom_site_type_symbol
_atom_site_fract_x
_atom_site_fract_y
_atom_site_fract_z
_atom_site_occupancy
Lu1 Lu 0.000 0.000 0.000 1
Mg1 Mg 0.000 0.000 0.500 1
Ga1 Ga 0.500 0.500 0.270 1
Ga2 Ga 0.500 0.500 0.730 1
# ρ = 7.0 g cm⁻³
# Formation enthalpy at 0 K = -1.40 eV/f.u.
# Total DFT energy (no corrections) = -3.392 eV/atom

No. 4
# LuMgGa2 | the Alexandria database | PBE-GGA | optimized geometry
data_LuMgGa2
_space_group_name_H-M_alt 'P 1'
_space_group_IT_number 1
_cell_length_a 4.354
_cell_length_b 4.354
_cell_length_c 4.148
_cell_angle_alpha 90.00
_cell_angle_beta 90.00
_cell_angle_gamma 90.00
loop_
_space_group_symop_operation_xyz
'x,y,z'
loop_
_atom_site_label
_atom_site_type_symbol
_atom_site_fract_x
_atom_site_fract_y
_atom_site_fract_z
_atom_site_occupancy
Lu1 Lu 0.000 0.000 0.000 1
Mg1 Mg 0.500 0.500 0.000 1
Ga1 Ga 0.000 0.500 0.500 1
Ga2 Ga 0.500 0.000 0.500 1
# ρ = 7.2 g cm⁻³
# Formation enthalpy at 0 K = -1.72 eV/f.u.
# Total DFT energy (no corrections) = -3.471 eV/atom

No. 5
# LuMgGa4 | the Alexandria database | PBE-GGA | optimized geometry
data_LuMgGa4
_space_group_name_H-M_alt 'P 1'
_space_group_IT_number 1
_cell_length_a 5.447
_cell_length_b 5.447
_cell_length_c 5.447
_cell_angle_alpha 60.00
_cell_angle_beta 60.00
_cell_angle_gamma 60.00
loop_
_space_group_symop_operation_xyz
'x,y,z'
loop_
_atom_site_label
_atom_site_type_symbol
_atom_site_fract_x
_atom_site_fract_y
_atom_site_fract_z
_atom_site_occupancy
Lu1 Lu 0.000 0.000 0.000 1
Mg1 Mg 0.750 0.750 0.750 1
Ga1 Ga 0.375 0.375 0.375 1
Ga2 Ga 0.375 0.375 0.876 1
Ga3 Ga 0.375 0.876 0.375 1
Ga4 Ga 0.876 0.375 0.375 1
# ρ = 6.9 g cm⁻³
# Formation enthalpy at 0 K = -1.53 eV/f.u.
# Total DFT energy (no corrections) = -3.292 eV/atom

No. 6
# LuMgGa | the Alexandria database | PBE-GGA | optimized geometry
data_LuMgGa
_space_group_name_H-M_alt 'P 1'
_space_group_IT_number 1
_cell_length_a 6.492
_cell_length_b 6.492
_cell_length_c 6.492
_cell_angle_alpha 150.47
_cell_angle_beta 150.47
_cell_angle_gamma 42.25
loop_
_space_group_symop_operation_xyz
'x,y,z'
loop_
_atom_site_label
_atom_site_type_symbol
_atom_site_fract_x
_atom_site_fract_y
_atom_site_fract_z
_atom_site_occupancy
Lu1 Lu 0.000 0.000 0.000 1
Mg1 Mg 0.701 0.701 0.000 1
Ga1 Ga 0.345 0.345 0.000 1
# ρ = 6.7 g cm⁻³
# Formation enthalpy at 0 K = -0.76 eV/f.u.
# Total DFT energy (no corrections) = -3.302 eV/atom

No. 7
# Lu2MgGa | the Alexandria database | PBE-GGA | optimized geometry
data_Lu2MgGa
_space_group_name_H-M_alt 'P 1'
_space_group_IT_number 1
_cell_length_a 3.591
_cell_length_b 3.591
_cell_length_c 7.278
_cell_angle_alpha 90.00
_cell_angle_beta 90.00
_cell_angle_gamma 90.00
loop_
_space_group_symop_operation_xyz
'x,y,z'
loop_
_atom_site_label
_atom_site_type_symbol
_atom_site_fract_x
_atom_site_fract_y
_atom_site_fract_z
_atom_site_occupancy
Lu1 Lu 0.000 0.000 0.232 1
Lu2 Lu 0.000 0.000 0.768 1
Mg1 Mg 0.500 0.500 0.500 1
Ga1 Ga 0.500 0.500 0.000 1
# ρ = 7.9 g cm⁻³
# Formation enthalpy at 0 K = -1.27 eV/f.u.
# Total DFT energy (no corrections) = -3.734 eV/atom

No. 8
# LuMgGa | the Alexandria database | PBE-GGA | optimized geometry
data_LuMgGa
_space_group_name_H-M_alt 'P 1'
_space_group_IT_number 1
_cell_length_a 4.657
_cell_length_b 4.657
_cell_length_c 3.486
_cell_angle_alpha 90.00
_cell_angle_beta 90.00
_cell_angle_gamma 120.00
loop_
_space_group_symop_operation_xyz
'x,y,z'
loop_
_atom_site_label
_atom_site_type_symbol
_atom_site_fract_x
_atom_site_fract_y
_atom_site_fract_z
_atom_site_occupancy
Lu1 Lu 0.000 0.000 0.000 1
Mg1 Mg 0.333 0.667 0.500 1
Ga1 Ga 0.667 0.333 0.500 1
# ρ = 6.8 g cm⁻³
# Formation enthalpy at 0 K = -1.00 eV/f.u.
# Total DFT energy (no corrections) = -3.379 eV/atom

No. 9
# LuMgGa2 | the Alexandria database | PBE-GGA | optimized geometry
data_LuMgGa2
_space_group_name_H-M_alt 'P 1'
_space_group_IT_number 1
_cell_length_a 5.438
_cell_length_b 5.438
_cell_length_c 5.438
_cell_angle_alpha 48.74
_cell_angle_beta 48.74
_cell_angle_gamma 48.74
loop_
_space_group_symop_operation_xyz
'x,y,z'
loop_
_atom_site_label
_atom_site_type_symbol
_atom_site_fract_x
_atom_site_fract_y
_atom_site_fract_z
_atom_site_occupancy
Lu1 Lu 0.000 0.000 0.000 1
Mg1 Mg 0.500 0.500 0.500 1
Ga1 Ga 0.229 0.229 0.229 1
Ga2 Ga 0.771 0.771 0.771 1
# ρ = 6.7 g cm⁻³
# Formation enthalpy at 0 K = -1.33 eV/f.u.
# Total DFT energy (no corrections) = -3.375 eV/atom

No. 10
# LuMgGa | the Alexandria database | PBE-GGA | optimized geometry
data_LuMgGa
_space_group_name_H-M_alt 'P 1'
_space_group_IT_number 1
_cell_length_a 4.689
_cell_length_b 4.689
_cell_length_c 4.689
_cell_angle_alpha 60.00
_cell_angle_beta 60.00
_cell_angle_gamma 60.00
loop_
_space_group_symop_operation_xyz
'x,y,z'
loop_
_atom_site_label
_atom_site_type_symbol
_atom_site_fract_x
_atom_site_fract_y
_atom_site_fract_z
_atom_site_occupancy
Lu1 Lu 0.000 0.000 0.000 1
Mg1 Mg 0.500 0.500 0.500 1
Ga1 Ga 0.750 0.750 0.750 1
# ρ = 6.1 g cm⁻³
# Formation enthalpy at 0 K = -0.91 eV/f.u.
# Total DFT energy (no corrections) = -3.350 eV/atom

No. 11
# LuMgGaPd | the Alexandria database | PBE-GGA | optimized geometry
data_LuMgGaPd
_space_group_name_H-M_alt 'P 1'
_space_group_IT_number 1
_cell_length_a 4.753
_cell_length_b 4.753
_cell_length_c 4.753
_cell_angle_alpha 60.00
_cell_angle_beta 60.00
_cell_angle_gamma 60.00
loop_
_space_group_symop_operation_xyz
'x,y,z'
loop_
_atom_site_label
_atom_site_type_symbol
_atom_site_fract_x
_atom_site_fract_y
_atom_site_fract_z
_atom_site_occupancy
Lu1 Lu 0.000 0.000 0.000 1
Mg1 Mg 0.500 0.500 0.500 1
Ga1 Ga 0.250 0.250 0.250 1
Pd1 Pd 0.750 0.750 0.750 1
# ρ = 8.2 g cm⁻³
# Formation enthalpy at 0 K = -2.59 eV/f.u.
# Total DFT energy (no corrections) = -4.232 eV/atom

No. 12
# LuPuMgGa | the Alexandria database | PBE-GGA | optimized geometry
data_LuPuMgGa
_space_group_name_H-M_alt 'P 1'
_space_group_IT_number 1
_cell_length_a 5.128
_cell_length_b 5.128
_cell_length_c 5.128
_cell_angle_alpha 60.00
_cell_angle_beta 60.00
_cell_angle_gamma 60.00
loop_
_space_group_symop_operation_xyz
'x,y,z'
loop_
_atom_site_label
_atom_site_type_symbol
_atom_site_fract_x
_atom_site_fract_y
_atom_site_fract_z
_atom_site_occupancy
Lu1 Lu 0.000 0.000 0.000 1
Pu1 Pu 0.500 0.500 0.500 1
Mg1 Mg 0.750 0.750 0.750 1
Ga1 Ga 0.250 0.250 0.250 1
# ρ = 8.9 g cm⁻³
# Formation enthalpy at 0 K = -0.62 eV/f.u.
# Total DFT energy (no corrections) = -6.023 eV/atom